1.
# Ag2S

A geometry-optimized Ag2S structure (GGA-PBEsol, Alexandria via LeMat-Bulk).

Structure (CIF):
```
data_Ag2S
_chemical_formula_sum 'Ag4 S2'
_cell_length_a 4.221
_cell_length_b 6.397
_cell_length_c 5.591
_cell_angle_alpha 90.00
_cell_angle_beta 126.61
_cell_angle_gamma 90.00
_symmetry_space_group_name_H-M 'P 1 c 1'
_symmetry_Int_Tables_number 7
loop_
_symmetry_equiv_pos_as_xyz
'x,y,z'
'x,-y,z+1/2'
loop_
_atom_site_label
_atom_site_type_symbol
_atom_site_fract_x
_atom_site_fract_y
_atom_site_fract_z
Ag1 Ag 0.000 0.025 0.000
Ag2 Ag 0.710 0.367 0.191
S1 S 0.058 0.297 0.741
```

Computed properties:
Energy ... -22.05 eV for the cell shown

2.
# Ag2S

A geometry-optimized Ag2S structure (GGA-PBEsol, Alexandria via LeMat-Bulk).

Structure (CIF):
```
data_Ag2S
_chemical_formula_sum 'Ag6 S3'
_cell_length_a 4.498
_cell_length_b 4.498
_cell_length_c 9.101
_cell_angle_alpha 99.60
_cell_angle_beta 99.62
_cell_angle_gamma 99.43
_symmetry_space_group_name_H-M 'P 1'
_symmetry_Int_Tables_number 1
loop_
_symmetry_equiv_pos_as_xyz
'x,y,z'
loop_
_atom_site_label
_atom_site_type_symbol
_atom_site_fract_x
_atom_site_fract_y
_atom_site_fract_z
Ag1 Ag 0.000 0.000 0.000
Ag2 Ag 0.083 0.242 0.333
Ag3 Ag 0.332 0.335 0.666
Ag4 Ag 0.421 0.578 0.999
Ag5 Ag 0.662 0.663 0.333
Ag6 Ag 0.755 0.913 0.667
S1 S 0.260 0.840 0.780
S2 S 0.590 0.169 0.446
S3 S 0.927 0.506 0.114
```

Computed properties:
Energy ... -32.96 eV for the cell shown

3.
# Ag2S

A geometry-optimized Ag2S structure (GGA-PBEsol, Alexandria via LeMat-Bulk).

Structure (CIF):
```
data_Ag2S
_chemical_formula_sum 'Ag8 S4'
_cell_length_a 6.077
_cell_length_b 6.077
_cell_length_c 6.077
_cell_angle_alpha 90.00
_cell_angle_beta 90.00
_cell_angle_gamma 90.00
_symmetry_space_group_name_H-M 'F m -3 m'
_symmetry_Int_Tables_number 225
_symmetry_space_group_name_Hall '-F 4 2 3'
loop_
_atom_site_label
_atom_site_type_symbol
_atom_site_fract_x
_atom_site_fract_y
_atom_site_fract_z
Ag1 Ag 0.250 0.250 0.250
S1 S 0.000 0.000 0.000
```

Computed properties:
Energy ... -43.70 eV for the cell shown

4.
# Ag2S

A geometry-optimized Ag2S structure (GGA-PBEsol, Alexandria via LeMat-Bulk).

Structure (CIF):
```
data_Ag2S
_chemical_formula_sum 'Ag8 S4'
_cell_length_a 4.352
_cell_length_b 6.747
_cell_length_c 7.060
_cell_angle_alpha 90.00
_cell_angle_beta 90.00
_cell_angle_gamma 90.00
_symmetry_space_group_name_H-M 'P 21 21 21'
_symmetry_Int_Tables_number 19
loop_
_symmetry_equiv_pos_as_xyz
'x,y,z'
'-x+1/2,-y,z+1/2'
'x+1/2,-y+1/2,-z'
'-x,y+1/2,-z+1/2'
loop_
_atom_site_label
_atom_site_type_symbol
_atom_site_fract_x
_atom_site_fract_y
_atom_site_fract_z
Ag1 Ag 0.007 0.228 0.360
Ag2 Ag 0.160 0.614 0.540
S1 S 0.122 0.996 0.662
```

Computed properties:
Energy ... -44.35 eV for the cell shown

no.,formation energy (no corrections) (eV/atom)
1,-0.01
2,0.01
3,0.03
4,-0.03